(1)
# Ta2NbTcH GGA-PBE relaxed
data_Ta2NbTcH
_space_group_name_H-M_alt 'P 1'
_space_group_IT_number 1
_cell_length_a 4.576
_cell_length_b 4.576
_cell_length_c 3.417
_cell_angle_alpha 90.00
_cell_angle_beta 90.00
_cell_angle_gamma 90.00
loop_
_space_group_symop_operation_xyz
'x,y,z'
loop_
_atom_site_label
_atom_site_fract_x
_atom_site_fract_y
_atom_site_fract_z
Tc1 0.000 0.000 0.500
Ta1 0.000 0.500 0.000
Ta2 0.500 0.000 0.000
H1 0.000 0.000 0.000
Nb1 0.500 0.500 0.500
# total magnetic moment	0.000	μB/atom
# ρ	12.855	g/cm3
# Fermi-level density of states	3.2	states/eV/f.u.
# final energy	-9.6223	eV/atom
# distance to the lowest polymorph of the same formula	0.00	kcal/mol of atoms
# symmetry	P4/mmm

=====

(2)
# TaNbV2H GGA-PBE relaxed
data_TaNbV2H
_space_group_name_H-M_alt 'P 1'
_space_group_IT_number 1
_cell_length_a 4.342
_cell_length_b 4.342
_cell_length_c 3.553
_cell_angle_alpha 90.00
_cell_angle_beta 90.00
_cell_angle_gamma 90.00
loop_
_space_group_symop_operation_xyz
'x,y,z'
loop_
_atom_site_label
_atom_site_fract_x
_atom_site_fract_y
_atom_site_fract_z
Ta1 0.000 0.000 0.500
Nb1 0.500 0.500 0.500
V1 0.500 0.000 0.000
V2 0.000 0.500 0.000
H1 0.000 0.000 0.000
# total magnetic moment	0.000	μB/atom
# ρ	9.340	g/cm3
# Fermi-level density of states	6.9	states/eV/f.u.
# final energy	-8.6187	eV/atom
# distance to the lowest polymorph of the same formula	0.20	kcal/mol of atoms
# symmetry	P4/mmm

=====

(3)
# TaNbV2H GGA-PBE relaxed
data_TaNbV2H
_space_group_name_H-M_alt 'P 1'
_space_group_IT_number 1
_cell_length_a 3.808
_cell_length_b 3.808
_cell_length_c 4.613
_cell_angle_alpha 90.00
_cell_angle_beta 90.00
_cell_angle_gamma 90.00
loop_
_space_group_symop_operation_xyz
'x,y,z'
loop_
_atom_site_label
_atom_site_fract_x
_atom_site_fract_y
_atom_site_fract_z
V1 0.000 0.500 0.000
V2 0.500 0.000 0.000
Ta1 0.500 0.500 0.500
H1 0.000 0.000 0.000
Nb1 0.000 0.000 0.500
# total magnetic moment	0.000	μB/atom
# ρ	9.355	g/cm3
# Fermi-level density of states	5.4	states/eV/f.u.
# final energy	-8.6275	eV/atom
# distance to the lowest polymorph of the same formula	0.00	kcal/mol of atoms
# symmetry	P4/mmm

=====

(4)
# TaNb2VH GGA-PBE relaxed
data_TaNb2VH
_space_group_name_H-M_alt 'P 1'
_space_group_IT_number 1
_cell_length_a 4.525
_cell_length_b 4.525
_cell_length_c 3.454
_cell_angle_alpha 90.00
_cell_angle_beta 90.00
_cell_angle_gamma 90.00
loop_
_space_group_symop_operation_xyz
'x,y,z'
loop_
_atom_site_label
_atom_site_fract_x
_atom_site_fract_y
_atom_site_fract_z
Nb1 0.000 0.500 0.000
Nb2 0.500 0.000 0.000
H1 0.000 0.000 0.000
V1 0.000 0.000 0.500
Ta1 0.500 0.500 0.500
# total magnetic moment	0.000	μB/atom
# ρ	9.830	g/cm3
# Fermi-level density of states	6.4	states/eV/f.u.
# final energy	-8.9317	eV/atom
# symmetry	P4/mmm